Material: Na7Al3O8
Method: DFT, SCAN
State: PBEsol geometry

The space group is P-1. As for the uncorrected formation energy: -2.41 eV per atom.

a b c (Å): 5.859 7.960 11.309
angles (deg): 69.42 89.69 71.10
Element x y z (fractional)
Na 0.471 0.293 0.270
Na 0.849 0.902 0.332
Na 0.275 0.482 0.449
Na 0.659 0.098 0.051
Na 0.257 0.509 0.944
Na 0.725 0.518 0.551
Na 0.341 0.902 0.949
Na 0.551 0.694 0.238
Na 0.449 0.306 0.762
Na 0.627 0.088 0.556
Na 0.373 0.912 0.444
Na 0.151 0.098 0.668
Na 0.743 0.491 0.056
Na 0.529 0.707 0.730
O 0.779 0.801 0.535
O 0.464 0.010 0.231
O 0.842 0.766 0.006
O 0.948 0.218 0.239
O 0.677 0.367 0.418
O 0.536 0.990 0.769
O 0.065 0.907 0.163
O 0.323 0.633 0.582
O 0.977 0.559 0.274
O 0.935 0.093 0.837
O 0.640 0.405 0.895
O 0.221 0.199 0.465
O 0.052 0.782 0.761
O 0.158 0.234 0.994
O 0.360 0.595 0.105
O 0.023 0.441 0.726
Al 0.165 0.096 0.158
Al 0.067 0.701 0.136
Al 0.835 0.904 0.842
Al 0.043 0.675 0.646
Al 0.957 0.325 0.354
Al 0.933 0.299 0.864